A relaxed CrPb5 crystal. Source: Alexandria via LeMat-Bulk, functional PBE-GGA.

```
6
Lattice="-0.0595 -3.0839 1.6954 2.7735 -1.0848 -1.8760 8.4961 5.1154 9.6027" Properties=species:S:1:pos:R:3 pbc="T T T"
Cr 1.3570 -2.0844 -0.0903
Pb 7.3789 4.4427 8.3399
Pb 1.1172 0.6727 1.2627
Pb 7.1322 1.3928 6.4371
Pb 4.0779 -0.4461 2.9850
Pb 4.2480 2.5577 4.8013
```

## Properties
Space-group type ... P4/mmm (123)
Density ... 10.56 Mg/m³
ΔE to the lowest computed polymorph ... 0 meV/atom
Total moment ... 3.97 Bohr magnetons per cell
Energy of formation from the pure elements ... 0.22 eV per atom